i.
Material: KCo2Ru
Method: DFT, meta-GGA SCAN
State: single point on PBEsol structure

extended XYZ file:
```
4
Lattice="-2.5541 0.3019 0.6630 -1.8165 -1.7184 -0.8954 -0.1047 -5.9047 7.6050" Properties=species:S:1:pos:R:3 pbc="T T T"
Co -0.1147 -5.8645 7.5482
Co -3.2905 -5.7556 5.9039
K -2.2306 -3.6888 3.7263
Ru -1.1817 -1.5774 1.4856
```

Output
Magnetization, Bohr magnetons per cell: 3.5

ii.
Material: KCo2Ru
Method: DFT, meta-GGA SCAN
State: single point on PBEsol structure

extended XYZ file:
```
4
Lattice="2.6212 0.0000 0.0000 0.0000 3.2289 0.0000 0.0000 0.0000 7.8090" Properties=species:S:1:pos:R:3 pbc="T T T"
Co 0.0000 0.0000 0.1201
Co 1.3106 1.6145 1.2096
K 0.0000 0.0000 3.8428
Ru 1.3106 1.6145 6.5410
```

Output
Magnetization, Bohr magnetons per cell: 4.6

Relative to the most stable structure, the computed energies are i 54; ii 0, all in meV/atom.

i.
Material: TcHg3H
Method: DFT, meta-GGA SCAN
State: single point on PBEsol structure

extended XYZ file:
```
5
Lattice="4.2782 0.0000 0.0000 0.0000 4.2782 0.0000 0.0000 0.0000 4.2782" Properties=species:S:1:pos:R:3 pbc="T T T"
H 0.0000 0.0000 0.0000
Hg 0.0000 2.1391 0.0000
Hg 0.0000 0.0000 2.1391
Hg 2.1391 0.0000 0.0000
Tc 2.1391 2.1391 2.1391
```

Output
Magnetization, Bohr magnetons per cell: 1.7

ii.
Material: TcHg3H
Method: DFT, meta-GGA SCAN
State: single point on PBEsol structure

extended XYZ file:
```
5
Lattice="-2.4723 3.6922 2.8068 -3.4322 0.6826 -3.9213 -3.1193 -3.6776 2.0900" Properties=species:S:1:pos:R:3 pbc="T T T"
H -4.5119 0.3486 0.4878
Hg -1.7161 0.3413 -1.9606
Hg -1.5596 -1.8388 1.0450
Hg -1.2362 1.8461 1.4034
Tc 0.0000 0.0000 0.0000
```

Output
Magnetization, Bohr magnetons per cell: 3.5

Relative to the most stable structure, the computed energies are i 0; ii 157, all in meV/atom.